## P
CsSi3Br after structural relaxation. Source: Alexandria, functional PBE-GGA.

ρ = 3.24 g cm⁻³
crystal system = cubic

Cell: 5.340 5.340 5.340 Å, 90.00 90.00 90.00°
Space group Pm-3m (No. 221)
Symmetry-distinct sites (fractional):
1 Cs 0.000 0.000 0.000 (multiplicity 1)
2 Si 0.000 0.500 0.500 (multiplicity 3)
3 Br 0.500 0.500 0.500 (multiplicity 1)

---

## Q
CsSi3Br after structural relaxation. Source: Alexandria, functional PBE-GGA.

ρ = 2.51 g cm⁻³
crystal system = cubic

Cell: 5.812 5.812 5.812 Å, 90.00 90.00 90.00°
Space group Pm-3m (No. 221)
Symmetry-distinct sites (fractional):
1 Cs 0.000 0.000 0.000 (multiplicity 1)
2 Si 0.000 0.000 0.500 (multiplicity 3)
3 Br 0.500 0.500 0.500 (multiplicity 1)

---

Structures ranked by computed energy, the most stable listed first: P, Q.